No. 1
DFT (PBE+U) results for a relaxed Pr2FeP2O crystal.

Properties
As for the total energy: -30.649 eV per cell.

abc: 3.3378 3.3378 14.8805
angles: 90.00 90.00 90.00
Last column: nearest neighbours and their distance in Å.
Space group P4/mmm (No. 123)
One atom of each set of equivalent atoms:
1 Pr 0.0000 0.0000 0.1433 x2  1 O 2.13
2 Fe 0.0000 0.0000 0.5000 x1  2 P 2.35
3 P 0.0000 0.0000 0.3420 x2  1 Fe 2.35
4 O 0.0000 0.0000 0.0000 x1  2 Pr 2.13

No. 2
DFT (PBE+U) results for a relaxed PrFePO crystal.

Properties
As for the total energy: -54.129 eV per cell.

abc: 4.0824 4.0824 8.8745
angles: 90.00 90.00 90.00
Last column: nearest neighbours and their distance in Å.
Space group P4/nmm (No. 129, origin choice 2)
One atom of each set of equivalent atoms:
1 Pr 0.2500 0.2500 0.1349 x2  4 O 2.37
2 Fe 0.2500 0.7500 0.5000 x2  4 P 2.51
3 P 0.2500 0.2500 0.6655 x2  4 Fe 2.51
4 O 0.2500 0.7500 0.0000 x2  4 Pr 2.37

No. 3
DFT (PBE+U) results for a relaxed PrFe2PO8 crystal.

Properties
As for the total energy: -78.992 eV per cell.

abc: 5.2251 5.2251 6.0765
angles: 90.00 90.00 120.00
Last column: nearest neighbours and their distance in Å.
Space group P-3m1 (No. 164)
One atom of each set of equivalent atoms:
1 Pr 0.0000 0.0000 0.0000 x1  6 O 2.50
2 Fe 0.3333 0.6667 0.4586 x2  4 O 1.87-2.03
3 P 0.0000 0.0000 0.5000 x1  6 O 1.70
4 O 0.1548 0.3096 0.6598 x6  1 P 1.70
5 O 0.3333 0.6667 0.1511 x2  1 Fe 1.87

No. 4
DFT (PBE+U) results for a relaxed FePPtO2 crystal.

Properties
The excess energy over the best structure of this formula in the dataset is 0.000 eV per atom.

abc: 3.5365 3.5365 6.6155
angles: 90.00 90.00 90.00
Last column: nearest neighbours and their distance in Å.
Space group P4/mmm (No. 123)
One atom of each set of equivalent atoms:
1 Fe 0.0000 0.0000 0.0000 x1  4 O 1.77
2 P 0.0000 0.0000 0.5000 x1  4 Pt 2.50
3 Pt 0.5000 0.5000 0.5000 x1  4 P 2.50
4 O 0.0000 0.5000 0.0000 x2  2 Fe 1.77

No. 5
DFT (PBE+U) results for a relaxed FePPtO2 crystal.

Properties
The excess energy over the best structure of this formula in the dataset is 0.354 eV per atom.

abc: 3.8935 3.8935 5.0358
angles: 90.00 90.00 90.00
Last column: nearest neighbours and their distance in Å.
Space group P4/mmm (No. 123)
One atom of each set of equivalent atoms:
1 Fe 0.0000 0.0000 0.0000 x1  4 P 2.75
2 P 0.5000 0.5000 0.0000 x1  2 Pt 2.52, 4 Fe 2.75
3 Pt 0.5000 0.5000 0.5000 x1  4 O 1.95
4 O 0.0000 0.5000 0.5000 x2  2 Pt 1.95

No. 6
DFT (PBE+U) results for a relaxed RbFePO2 crystal.

Properties
The excess energy over the best structure of this formula in the dataset is 1.549 eV per atom.

abc: 4.0783 4.0783 5.6860
angles: 90.00 90.00 90.00
Last column: nearest neighbours and their distance in Å.
Space group P4/mmm (No. 123)
One atom of each set of equivalent atoms:
1 Rb 0.0000 0.0000 0.0000 x1  4 O 2.04
2 Fe 0.5000 0.5000 0.5000 x1  4 P 2.88
3 P 0.0000 0.0000 0.5000 x1  2 Rb 2.84, 4 Fe 2.88
4 O 0.0000 0.5000 0.0000 x2  2 Rb 2.04

Calculated volume for the records above, in order: 27.6; 18.5; 12.0; 16.5; 15.3; 18.9 Å³/atom